(1)
Crystalline BaBe2Ag at its relaxed geometry, computed with GGA-PBE.

Cell: 3.139 3.139 7.648 Å, 90.00 90.00 90.00°
Space group P4mm (No. 99)
Asymmetric unit:
Ba  0.000  0.000  0.000 x1
Be  0.000  0.000  0.446 x1
Be  0.500  0.500  0.321 x1
Ag  0.500  0.500  0.633 x1

density of states at the Fermi level = 2.14 states/eV per cell
formation energy = 489 meV per atom
DFT total energy = -10.27 eV/cell
distance to the lowest polymorph of the same formula = 1.37 eV/f.u.

=====

(2)
Crystalline BaBeAg2 at its relaxed geometry, computed with GGA-PBE.

Cell: 4.133 4.134 6.021 Å, 90.00 90.07 90.00°
Space group Pm (No. 6)
Asymmetric unit:
Ba  0.000  0.000  0.000 x1
Be  0.502  0.500  0.312 x1
Ag  0.002  0.500  0.507 x1
Ag  0.501  0.000  0.507 x1

density of states at the Fermi level = 0.86 states/eV per cell
formation energy = 102 meV per atom
DFT total energy = -10.94 eV/cell

=====

(3)
Crystalline BaBeAg2 at its relaxed geometry, computed with GGA-PBE.

Cell: 3.501 3.513 7.370 Å, 90.00 90.00 90.00°
Space group Pmm2 (No. 25)
Asymmetric unit:
Ba  0.000  0.000  0.000 x1
Be  0.500  0.500  0.342 x1
Ag  0.000  0.000  0.450 x1
Ag  0.500  0.500  0.669 x1

density of states at the Fermi level = 2.15 states/eV per cell
formation energy = 220 meV per atom
DFT total energy = -10.47 eV/cell

=====

(4)
Crystalline BaBe2Ag at its relaxed geometry, computed with GGA-PBE.

Cell: 7.208 7.216 3.111 Å, 90.00 90.24 90.00°
Space group C2/m (No. 12)
Asymmetric unit:
Ba  0.000  0.000  0.000 x2
Be  0.250  0.250  0.500 x4
Ag  0.000  0.500  0.000 x2

density of states at the Fermi level = 5.87 states/eV per cell
formation energy = 922 meV per atom
DFT total energy = -17.08 eV/cell
distance to the lowest polymorph of the same formula = 3.10 eV/f.u.

=====

(5)
Crystalline BaBeAg2 at its relaxed geometry, computed with GGA-PBE.

Cell: 7.685 4.442 6.399 Å, 90.00 113.38 90.00°
Space group C2/m (No. 12)
Asymmetric unit:
Ba  0.000  0.000  0.000 x2
Be  0.000  0.500  0.500 x2
Ag  0.196  0.000  0.588 x4

density of states at the Fermi level = 3.68 states/eV per cell
formation energy = 32 meV per atom
DFT total energy = -22.44 eV/cell

=====

(6)
Crystalline BaBe2Ag at its relaxed geometry, computed with GGA-PBE.

Cell: 4.686 4.686 17.411 Å, 90.00 90.00 90.00°
Space group I4_1/amd (No. 141, origin choice 2)
Asymmetric unit:
Ba  0.000  0.250  0.375 x4
Be  0.000  0.000  0.000 x8
Ag  0.000  0.250  0.875 x4

density of states at the Fermi level = 6.66 states/eV per cell
formation energy = 348 meV per atom
DFT total energy = -43.34 eV/cell
distance to the lowest polymorph of the same formula = 0.81 eV/f.u.

=====

(7)
Crystalline BaBeAg2 at its relaxed geometry, computed with GGA-PBE.

Cell: 5.379 5.379 15.715 Å, 90.00 90.00 90.00°
Space group I4_1/amd (No. 141, origin choice 2)
Asymmetric unit:
Ba  0.000  0.250  0.375 x4
Be  0.000  0.250  0.875 x4
Ag  0.000  0.000  0.000 x8

density of states at the Fermi level = 10.97 states/eV per cell
formation energy = 116 meV per atom
DFT total energy = -43.56 eV/cell

=====

(8)
Crystalline BaBe2Ag at its relaxed geometry, computed with GGA-PBE.

Cell: 4.332 4.349 5.183 Å, 90.00 90.00 90.00°
Space group Pmmm (No. 47)
Asymmetric unit:
Ba  0.000  0.000  0.000 x1
Be  0.253  0.500  0.500 x2
Ag  0.500  0.000  0.500 x1

density of states at the Fermi level = 2.87 states/eV per cell
formation energy = 286 meV per atom
DFT total energy = -11.08 eV/cell
distance to the lowest polymorph of the same formula = 0.56 eV/f.u.

=====

(9)
Crystalline BaBe2Ag at its relaxed geometry, computed with GGA-PBE.

Cell: 6.982 6.982 6.982 Å, 90.00 90.00 90.00°
Space group Fm-3m (No. 225)
Asymmetric unit:
Ba  0.000  0.000  0.000 x4
Be  0.250  0.250  0.250 x8
Ag  0.000  0.000  0.500 x4

density of states at the Fermi level = 16.46 states/eV per cell
formation energy = 713 meV per atom
DFT total energy = -37.50 eV/cell
distance to the lowest polymorph of the same formula = 2.27 eV/f.u.

=====

(10)
Crystalline BaBeAg2 at its relaxed geometry, computed with GGA-PBE.

Cell: 5.224 5.224 7.259 Å, 90.00 90.00 90.00°
Space group I-4m2 (No. 119)
Asymmetric unit:
Ba  0.000  0.000  0.000 x2
Be  0.000  0.500  0.750 x2
Ag  0.000  0.000  0.500 x2
Ag  0.000  0.500  0.250 x2

density of states at the Fermi level = 2.89 states/eV per cell
formation energy = 393 meV per atom
DFT total energy = -19.56 eV/cell

=====

(11)
Crystalline Ba4BeAg at its relaxed geometry, computed with GGA-PBE.

Cell: 10.217 10.217 10.217 Å, 90.00 90.00 90.00°
Space group F-43m (No. 216)
Asymmetric unit:
Ba  0.125  0.125  0.125 x16
Be  0.250  0.250  0.750 x4
Ag  0.000  0.000  0.500 x4

density of states at the Fermi level = 39.69 states/eV per cell
formation energy = 856 meV per atom
DFT total energy = -36.54 eV/cell

=====

(12)
Crystalline BaBe2Ag at its relaxed geometry, computed with GGA-PBE.

Cell: 3.260 3.260 7.329 Å, 90.00 90.00 90.00°
Space group P4/mmm (No. 123)
Asymmetric unit:
Ba  0.000  0.000  0.000 x1
Be  0.500  0.500  0.344 x2
Ag  0.000  0.000  0.500 x1

density of states at the Fermi level = 1.33 states/eV per cell
formation energy = 461 meV per atom
DFT total energy = -10.38 eV/cell
distance to the lowest polymorph of the same formula = 1.26 eV/f.u.

=====

(13)
Crystalline Ba3BeAg at its relaxed geometry, computed with GGA-PBE.

Cell: 6.196 6.196 6.196 Å, 90.00 90.00 90.00°
Space group Pm-3m (No. 221)
Asymmetric unit:
Ba  0.000  0.000  0.500 x3
Be  0.000  0.000  0.000 x1
Ag  0.500  0.500  0.500 x1

density of states at the Fermi level = 3.96 states/eV per cell
formation energy = 375 meV per atom
DFT total energy = -10.47 eV/cell
distance to the lowest polymorph of the same formula = 0.00 eV/f.u.

=====

(14)
Crystalline BaBe4Ag2 at its relaxed geometry, computed with GGA-PBE.

Cell: 5.043 5.043 13.414 Å, 90.00 90.00 90.00°
Space group I4/mmm (No. 139)
Asymmetric unit:
Ba  0.000  0.000  0.000 x2
Be  0.000  0.000  0.235 x4
Be  0.000  0.500  0.000 x4
Ag  0.000  0.000  0.402 x4

density of states at the Fermi level = 6.22 states/eV per cell
formation energy = 1534 meV per atom
DFT total energy = -23.58 eV/cell

=====

(15)
Crystalline BaBeAg4 at its relaxed geometry, computed with GGA-PBE.

Cell: 8.096 8.096 8.096 Å, 90.00 90.00 90.00°
Space group F-43m (No. 216)
Asymmetric unit:
Ba  0.000  0.000  0.000 x4
Be  0.250  0.250  0.750 x4
Ag  0.124  0.124  0.376 x16

density of states at the Fermi level = 24.40 states/eV per cell
formation energy = 217 meV per atom
DFT total energy = -63.01 eV/cell

=====

(16)
Crystalline BaBeCdAg2 at its relaxed geometry, computed with GGA-PBE.

Cell: 4.942 4.942 4.860 Å, 90.00 90.00 90.00°
Space group P4/mmm (No. 123)
Asymmetric unit:
Ba  0.000  0.000  0.000 x1
Be  0.500  0.500  0.500 x1
Cd  0.500  0.500  0.000 x1
Ag  0.000  0.500  0.500 x2

density of states at the Fermi level = 2.50 states/eV per cell
formation energy = -16 meV per atom
DFT total energy = -12.35 eV/cell

=====

(17)
Crystalline BaBe2AgF8 at its relaxed geometry, computed with GGA-PBE.

Cell: 8.096 5.518 8.195 Å, 90.00 96.76 90.00°
Space group C2/m (No. 12)
Asymmetric unit:
Ba  0.000  0.000  0.000 x2
Be  0.119  0.500  0.269 x4
Ag  0.000  0.000  0.500 x2
F  0.012  0.265  0.273 x8
F  0.193  0.500  0.101 x4
F  0.245  0.500  0.431 x4

energy relative to the elements, uncorrected = -2.88 eV/atom
DFT total energy = -123.46 eV/cell

=====

(18)
Crystalline BaBeAgF6 at its relaxed geometry, computed with GGA-PBE.

Cell: 4.912 5.611 6.008 Å, 87.88 66.18 83.76°
Space group P1 (No. 1)
Asymmetric unit:
Ba  0.000  0.000  0.000 x1
Be  0.386  0.529  0.153 x1
Ag  0.669  0.501  0.601 x1
F  0.070  0.651  0.321 x1
F  0.317  0.381  0.958 x1
F  0.409  0.811  0.595 x1
F  0.565  0.742  0.013 x1
F  0.571  0.354  0.253 x1
F  0.923  0.191  0.621 x1

energy relative to the elements, uncorrected = -2.72 eV/atom
DFT total energy = -44.23 eV/cell

=====

(19)
Crystalline BaBeGaAg2 at its relaxed geometry, computed with GGA-PBE.

Cell: 4.940 4.940 4.605 Å, 90.00 90.00 90.00°
Space group P4/mmm (No. 123)
Asymmetric unit:
Ba  0.000  0.000  0.000 x1
Be  0.500  0.500  0.500 x1
Ga  0.500  0.500  0.000 x1
Ag  0.000  0.500  0.500 x2

density of states at the Fermi level = 2.09 states/eV per cell
formation energy = -34 meV per atom
DFT total energy = -14.55 eV/cell

=====

(20)
Crystalline Ba2BeAgH6 at its relaxed geometry, computed with GGA-PBE.

Cell: 7.990 7.984 5.658 Å, 90.00 134.88 90.00°
Space group Cm (No. 8)
Asymmetric unit:
Ba  0.000  0.250  0.000 x4
Be  0.000  0.000  0.500 x2
Ag  0.000  0.500  0.499 x2
H  0.000  0.208  0.501 x4
H  0.207  0.000  0.916 x2
H  0.208  0.000  0.501 x2
H  0.292  0.500  0.501 x2
H  0.293  0.500  0.086 x2

density of states at the Fermi level = 2.06 states/eV per cell
DFT total energy = -65.77 eV/cell

=====

(21)
Crystalline BaBe2AgH6 at its relaxed geometry, computed with GGA-PBE.

Cell: 4.8196 4.8196 17.3381 Å, 90.00 90.00 120.00°
Space group R-3m (No. 166, hexagonal axes)
Asymmetric unit:
Ba  0.0000  0.0000  0.0000 x3
Be  0.0000  0.0000  0.2331 x6
Ag  0.0000  0.0000  0.5000 x3
H  0.0068  0.5034  0.9209 x18

density of states at the Fermi level = 4.71 states/eV per cell
DFT total energy = -98.55 eV/cell

=====

(22)
Crystalline BaHfBeAg2 at its relaxed geometry, computed with GGA-PBE.

Cell: 4.660 4.660 5.371 Å, 90.00 90.00 90.00°
Space group P4/mmm (No. 123)
Asymmetric unit:
Ba  0.000  0.000  0.000 x1
Hf  0.500  0.500  0.000 x1
Be  0.000  0.000  0.500 x1
Ag  0.000  0.500  0.500 x2

density of states at the Fermi level = 5.05 states/eV per cell
formation energy = 811 meV per atom
DFT total energy = -17.25 eV/cell

=====

(23)
Crystalline BaMnBeAg2 at its relaxed geometry, computed with GGA-PBE.

Cell: 5.962 5.962 5.705 Å, 90.00 90.00 90.00°
Space group P4/mmm (No. 123)
Asymmetric unit:
Ba  0.000  0.000  0.000 x1
Mn  0.500  0.500  0.500 x1
Be  0.000  0.000  0.500 x1
Ag  0.000  0.500  0.000 x2

density of states at the Fermi level = 4.02 states/eV per cell
formation energy = 1693 meV per atom
DFT total energy = -12.05 eV/cell

=====

(24)
Crystalline BaNaBeAg2 at its relaxed geometry, computed with GGA-PBE.

Cell: 6.211 6.211 5.987 Å, 90.00 90.00 90.00°
Space group P4/mmm (No. 123)
Asymmetric unit:
Ba  0.000  0.000  0.000 x1
Na  0.500  0.500  0.500 x1
Be  0.000  0.000  0.500 x1
Ag  0.000  0.500  0.000 x2

density of states at the Fermi level = 2.95 states/eV per cell
formation energy = 987 meV per atom
DFT total energy = -7.74 eV/cell

=====

(25)
Crystalline BaBeAgPd2 at its relaxed geometry, computed with GGA-PBE.

Cell: 4.610 4.610 4.790 Å, 90.00 90.00 90.00°
Space group P4/mmm (No. 123)
Asymmetric unit:
Ba  0.000  0.000  0.000 x1
Be  0.500  0.500  0.500 x1
Ag  0.500  0.500  0.000 x1
Pd  0.000  0.500  0.500 x2

density of states at the Fermi level = 2.36 states/eV per cell
formation energy = -237 meV per atom
DFT total energy = -20.07 eV/cell

=====

(26)
Crystalline BaBeAgPt2 at its relaxed geometry, computed with GGA-PBE.

Cell: 4.580 4.580 4.776 Å, 90.00 90.00 90.00°
Space group P4/mmm (No. 123)
Asymmetric unit:
Ba  0.000  0.000  0.000 x1
Be  0.500  0.500  0.500 x1
Ag  0.500  0.500  0.000 x1
Pt  0.000  0.500  0.500 x2

density of states at the Fermi level = 3.12 states/eV per cell
formation energy = -315 meV per atom
DFT total energy = -22.16 eV/cell

=====

(27)
Crystalline BaAg3Bi3 at its relaxed geometry, computed with GGA-PBE.

Cell: 7.1301 7.1301 28.5853 Å, 90.00 90.00 120.00°
Space group R-3 (No. 148, hexagonal axes)
Asymmetric unit:
Ba  0.0000  0.0000  0.1963 x6
Ag  0.0436  0.7904  0.6885 x18
Bi  0.0018  0.4473  0.7503 x18

density of states at the Fermi level = 12.14 states/eV per cell
formation energy = -177 meV per atom
DFT total energy = -140.14 eV/cell
distance to the lowest polymorph of the same formula = 0.00 eV/f.u.